First-principles (PBE) data for crystalline Ac2Nd5Er12 at its relaxed geometry, as listed in Alexandria.

abc: 9.2926 9.2926 8.6243
angles: 91.12 91.12 60.51
Last column: nearest neighbours and their distance in Å.
Atoms (fractional coordinates):
Ac 0.1961 0.8039 0.0000  8 Er 3.42-3.69, 2 Nd 3.66, 1 Ac 3.67
Ac 0.8039 0.1961 0.0000  8 Er 3.42-3.69, 2 Nd 3.66, 1 Ac 3.67
Nd 0.1973 0.1973 0.0031  8 Er 3.38-3.74, 2 Ac 3.66, 1 Nd 3.73
Nd 0.2645 0.2645 0.4203  10 Er 3.40-3.72, 1 Nd 3.73
Nd 0.5000 0.5000 0.5000  10 Er 3.65-3.77, 2 Nd 3.83
Nd 0.7355 0.7355 0.5797  10 Er 3.40-3.72, 1 Nd 3.73
Nd 0.8027 0.8027 0.9969  8 Er 3.38-3.74, 2 Ac 3.66, 1 Nd 3.73
Er 0.0575 0.0575 0.3296  2 Nd 3.40-3.64, 7 Er 3.41-3.51, 2 Ac 3.49
Er 0.0651 0.6863 0.3542  6 Er 3.41-3.67, 4 Nd 3.47-3.73, 1 Ac 3.69
Er 0.1607 0.5201 0.7486  5 Er 3.37-3.69, 4 Nd 3.49-3.74, 1 Ac 3.52
Er 0.3137 0.9349 0.6458  6 Er 3.41-3.67, 4 Nd 3.47-3.73, 1 Ac 3.69
Er 0.4004 0.4004 0.1158  3 Nd 3.38-3.65, 2 Ac 3.42, 4 Er 3.59-3.69
Er 0.4799 0.8393 0.2514  5 Er 3.37-3.69, 4 Nd 3.49-3.74, 1 Ac 3.52
Er 0.5201 0.1607 0.7486  5 Er 3.37-3.69, 4 Nd 3.49-3.74, 1 Ac 3.52
Er 0.5996 0.5996 0.8842  3 Nd 3.38-3.65, 2 Ac 3.42, 4 Er 3.59-3.69
Er 0.6863 0.0651 0.3542  6 Er 3.41-3.67, 4 Nd 3.47-3.73, 1 Ac 3.69
Er 0.8393 0.4799 0.2514  5 Er 3.37-3.69, 4 Nd 3.49-3.74, 1 Ac 3.52
Er 0.9349 0.3137 0.6458  6 Er 3.41-3.67, 4 Nd 3.47-3.73, 1 Ac 3.69
Er 0.9425 0.9425 0.6704  2 Nd 3.40-3.64, 7 Er 3.41-3.51, 2 Ac 3.49

Calculated values
The calculation puts the formation energy at 0.154 eV per atom. As for the space-group type: C2/m (12). The density is 8.2 Mg/m³. As for the crystal system: monoclinic. The final energy comes out at -83.9 eV per cell.

---

First-principles (PBE) data for crystalline YMg2CdN at its relaxed geometry, as listed in Alexandria.

abc: 4.4743 4.4743 4.7553
angles: 90.00 90.00 90.00
Last column: nearest neighbours and their distance in Å.
Atoms (fractional coordinates):
Y 0.0000 0.0000 0.0000  2 N 2.38
Mg 0.0000 0.5000 0.5000  2 N 2.24
Mg 0.5000 0.0000 0.5000  2 N 2.24
Cd 0.5000 0.5000 0.0000  4 Y 3.16, 8 Mg 3.26
N 0.0000 0.0000 0.5000  4 Mg 2.24, 2 Y 2.38

Calculated values
As for the space-group type: P4/mmm (123). The density is 4.6 Mg/m³. As for the crystal system: tetragonal. The final energy comes out at -21.4 eV per cell.

---

First-principles (PBE) data for crystalline HoNpHg at its relaxed geometry, as listed in Alexandria.

abc: 5.6088 5.6088 7.4976
angles: 124.53 124.53 56.75
Last column: nearest neighbours and their distance in Å.
Atoms (fractional coordinates):
Ho 0.2177 0.2177 0.2950  4 Hg 3.00-3.28, 3 Np 3.17-3.23
Ho 0.7823 0.7823 0.7050  4 Hg 3.00-3.28, 3 Np 3.17-3.23
Np 0.1088 0.1088 0.7039  1 Np 2.35
Np 0.8912 0.8912 0.2961  1 Np 2.35
Hg 0.4908 0.4908 0.1860  1 Hg 2.91, 3 Ho 3.00-3.23, 3 Np 3.12-3.13
Hg 0.5092 0.5092 0.8140  1 Hg 2.91, 3 Ho 3.00-3.23, 3 Np 3.12-3.13

Calculated values
The calculation puts the formation energy at 0.202 eV per atom. As for the space-group type: C2/m (12). The density is 13.3 Mg/m³. As for the crystal system: monoclinic. The final energy comes out at -34.4 eV per cell.

---

First-principles (PBE) data for crystalline RbTi2Ag at its relaxed geometry, as listed in Alexandria.

abc: 11.2001 11.2001 11.2001
angles: 155.88 155.88 34.37
Last column: nearest neighbours and their distance in Å.
Atoms (fractional coordinates):
Rb 0.0000 0.0000 0.0000  4 Ag 3.31, 4 Ti 3.65
Rb 0.7500 0.2500 0.5000  4 Ag 3.31, 4 Ti 3.65
Ti 0.3415 0.6250 0.2165  2 Ti 2.36
Ti 0.3750 0.5915 0.7165  2 Ti 2.36
Ti 0.4085 0.1250 0.7835  2 Ti 2.36
Ti 0.8750 0.6585 0.2835  2 Ti 2.36
Ag 0.2500 0.7500 0.5000  4 Ti 2.92
Ag 0.5000 0.5000 0.0000  4 Ti 2.92

Calculated values
The value obtained for the offset from the most stable computed form is 0.0000 eV/atom. The calculation puts the formation energy at 1.114 eV per atom. As for the space-group type: I-42d (122). The density is 4.1 Mg/m³. As for the crystal system: tetragonal. The final energy comes out at -30.3 eV per cell.